{"formula": "K3LiHf3Te8", "functional": "PBE-GGA", "state": "relaxed", "formation_energy_uncorrected_ev_per_atom": -0.90, "mass_density_g_cm3": 5.46, "dft_energy_ev_per_atom": -4.91, "cell": [[7.286, -4.211, 0.000], [7.286, 4.211, 0.000], [-4.851, 0.000, 8.335]], "species": ["K", "K", "K", "Li", "Hf", "Hf", "Hf", "Te", "Te", "Te", "Te", "Te", "Te", "Te", "Te"], "frac_coords": [[0.000, 0.000, 0.000], [0.000, 0.500, 0.000], [0.500, 0.000, 0.000], [0.000, 0.000, 0.500], [0.000, 0.500, 0.500], [0.500, 0.000, 0.500], [0.500, 0.500, 0.500], [0.237, 0.237, 0.695], [0.237, 0.720, 0.695], [0.266, 0.266, 0.299], [0.280, 0.763, 0.305], [0.720, 0.237, 0.695], [0.734, 0.734, 0.701], [0.763, 0.280, 0.305], [0.763, 0.763, 0.305]]}

{"formula": "KLiHfTi2", "functional": "PBE-GGA", "state": "relaxed", "mass_density_g_cm3": 5.32, "dft_energy_ev_per_atom": -4.23, "delta_e_f_ev_per_atom": 1.519, "cell": [[4.968, 0.000, 0.000], [0.000, 4.968, 0.000], [0.000, 0.000, 4.048]], "species": ["K", "Li", "Hf", "Ti", "Ti"], "frac_coords": [[0.000, 0.000, 0.000], [0.000, 0.000, 0.500], [0.500, 0.500, 0.500], [0.000, 0.500, 0.000], [0.500, 0.000, 0.000]]}